Computed, not measured: crystalline SrBeRu at its relaxed geometry at the PBE level of DFT.

The structure belongs to space group F-43m (No. 216); the cell edges are 6.2494, 6.2494 and 6.2494 Å and the angles 90.00°, 90.00° and 90.00°. The asymmetric unit holds Sr at (0.0000, 0.0000, 0.0000), Be at (0.2500, 0.2500, 0.7500) and Ru at (0.0000, 0.0000, 0.5000).

The uncorrected energy comes out at -4.0937 eV/atom. As for the formation energy from the elements: 2.40 eV/f.u. Its magnetic moment is 0.0 μB/f.u. For the excess energy over the best structure of this formula in the dataset, the calculation gives 820 meV per atom.


Computed, not measured: crystalline Dy3PaRu3 at its relaxed geometry at the PBE level of DFT.

The structure belongs to space group R3m (No. 160, hexagonal axes); the cell edges are 9.4611, 9.4611 and 5.9930 Å and the angles 90.00°, 90.00° and 120.00°. The asymmetric unit holds Dy at (0.1997, 0.3995, 0.0000), Pa at (0.0000, 0.0000, 0.8069) and Ru at (0.1804, 0.3608, 0.5180).

The uncorrected energy comes out at -7.7578 eV/atom. As for the formation energy from the elements: -3.17 eV/f.u. Its magnetic moment is 0.0 μB/f.u.


Computed, not measured: crystalline LiSi2W at its relaxed geometry at the PBE level of DFT.

The structure belongs to space group Cm (No. 8); the cell edges are 9.6803, 2.7099 and 4.4219 Å and the angles 90.00°, 96.20° and 90.00°. The asymmetric unit holds Li at (0.0000, 0.0000, 0.0000), Si at (0.0630, 0.5000, 0.5081), Si at (0.2401, 0.5000, 0.9177) and W at (0.2990, 0.0000, 0.4140).

The uncorrected energy comes out at -6.4242 eV/atom. The formation energy from raw total energies comes out at 0.004 eV per atom. Its magnetic moment is 0.0 μB/f.u. For the excess energy over the best structure of this formula in the dataset, the calculation gives 63 meV per atom.


Computed, not measured: crystalline Sr2ReRh at its relaxed geometry at the PBE level of DFT.

The structure belongs to space group Imm2 (No. 44); the cell edges are 4.1652, 5.2046 and 10.1941 Å and the angles 90.00°, 90.00° and 90.00°. The asymmetric unit holds Sr at (0.0000, 0.0000, 0.0000), Sr at (0.0000, 0.5000, 0.2165), Re at (0.0000, 0.5000, 0.8036) and Rh at (0.0000, 0.0000, 0.4149).

The uncorrected energy comes out at -5.3742 eV/atom. As for the formation energy from the elements: 1.67 eV/f.u. Its magnetic moment is 0.0 μB/f.u. For the excess energy over the best structure of this formula in the dataset, the calculation gives 244 meV per atom.


Computed, not measured: crystalline SrSc2B at its relaxed geometry at the PBE level of DFT.

The structure belongs to space group R-3m (No. 166, hexagonal axes); the cell edges are 3.6621, 3.6621 and 29.3597 Å and the angles 90.00°, 90.00° and 120.00°. The asymmetric unit holds Sr at (0.0000, 0.0000, 0.0000), Sc at (0.0000, 0.0000, 0.1268) and B at (0.0000, 0.0000, 0.5000).

The uncorrected energy comes out at -5.1267 eV/atom. As for the formation energy from the elements: 0.52 eV/f.u. Its magnetic moment is 0.0 μB/f.u.


Computed, not measured: crystalline CaNb2Tl at its relaxed geometry at the PBE level of DFT.

The structure belongs to space group Fm-3m (No. 225); the cell edges are 7.0101, 7.0101 and 7.0101 Å and the angles 90.00°, 90.00° and 90.00°. The asymmetric unit holds Ca at (0.0000, 0.0000, 0.0000), Nb at (0.2500, 0.2500, 0.2500) and Tl at (0.0000, 0.0000, 0.5000).

The uncorrected energy comes out at -5.3313 eV/atom. As for the formation energy from the elements: 3.18 eV/f.u. Its magnetic moment is 1.0 μB/f.u. For the excess energy over the best structure of this formula in the dataset, the calculation gives 0 meV per atom.


Computed, not measured: crystalline TlSe2I2 at its relaxed geometry at the PBE level of DFT.

The structure belongs to space group I4/mmm (No. 139); the cell edges are 3.7447, 3.7447 and 27.4508 Å and the angles 90.00°, 90.00° and 90.00°. The asymmetric unit holds Tl at (0.0000, 0.0000, 0.0000), Se at (0.0000, 0.5000, 0.2500) and I at (0.0000, 0.0000, 0.4116).

The uncorrected energy comes out at -2.5224 eV/atom. The formation energy from raw total energies comes out at -0.035 eV per atom. Its magnetic moment is 0.0 μB/f.u. For the excess energy over the best structure of this formula in the dataset, the calculation gives 19 meV per atom.


Computed, not measured: crystalline Ce2NiSe at its relaxed geometry at the PBE level of DFT.

The structure belongs to space group R3m (No. 160, hexagonal axes); the cell edges are 3.9633, 3.9633 and 22.0509 Å and the angles 90.00°, 90.00° and 120.00°. The asymmetric unit holds Ce at (0.0000, 0.0000, 0.0000), Ce at (0.0000, 0.0000, 0.1857), Ni at (0.0000, 0.0000, 0.5943) and Se at (0.0000, 0.0000, 0.4257).

The uncorrected energy comes out at -6.1352 eV/atom. The formation energy from raw total energies comes out at -0.852 eV per atom. Its magnetic moment is 1.8 μB/f.u. For the excess energy over the best structure of this formula in the dataset, the calculation gives 65 meV per atom.


Computed, not measured: crystalline Pr2DyTe2S2 at its relaxed geometry at the PBE level of DFT.

The structure belongs to space group I4/mmm (No. 139); the cell edges are 5.0722, 5.0722 and 16.1991 Å and the angles 90.00°, 90.00° and 90.00°. The asymmetric unit holds Pr at (0.0000, 0.0000, 0.1164), Dy at (0.0000, 0.0000, 0.5000), Te at (0.0000, 0.0000, 0.3144) and S at (0.0000, 0.5000, 0.0000).

The uncorrected energy comes out at -5.6191 eV/atom. The formation energy from raw total energies comes out at -1.519 eV per atom. Its magnetic moment is 0.0 μB/f.u.


Computed, not measured: crystalline Sc2Al3Tc at its relaxed geometry at the PBE level of DFT.

The structure belongs to space group R-3m (No. 166, hexagonal axes); the cell edges are 5.3259, 5.3259 and 12.8835 Å and the angles 90.00°, 90.00° and 120.00°. The asymmetric unit holds Sc at (0.0000, 0.0000, 0.1285), Al at (0.0000, 0.5000, 0.0000) and Tc at (0.0000, 0.0000, 0.5000).

The uncorrected energy comes out at -6.2403 eV/atom. As for the formation energy from the elements: -3.19 eV/f.u. Its magnetic moment is 0.0 μB/f.u. For the excess energy over the best structure of this formula in the dataset, the calculation gives 7 meV per atom.


Computed, not measured: crystalline NdY2Tm3Se6 at its relaxed geometry at the PBE level of DFT.

The structure belongs to space group C2/m (No. 12); the cell edges are 17.8296, 4.0477 and 8.2249 Å and the angles 90.00°, 104.29° and 90.00°. The asymmetric unit holds Nd at (0.0000, 0.0000, 0.0000), Y at (0.1644, 0.5000, 0.3288), Tm at (0.0000, 0.0000, 0.5000), Tm at (0.1636, 0.5000, 0.8334), Se at (0.0011, 0.5000, 0.7368), Se at (0.1662, 0.0000, 0.5870) and Se at (0.1726, 0.0000, 0.0809).

The uncorrected energy comes out at -6.0615 eV/atom. The formation energy from raw total energies comes out at -1.727 eV per atom. Its magnetic moment is 0.0 μB/f.u.


Computed, not measured: crystalline Al2SbRh at its relaxed geometry at the PBE level of DFT.

The structure belongs to space group Cmmm (No. 65); the cell edges are 5.5281, 7.9940 and 3.1183 Å and the angles 90.00°, 90.00° and 90.00°. The asymmetric unit holds Al at (0.2500, 0.2500, 0.0000), Sb at (0.0000, 0.0000, 0.5000) and Rh at (0.0000, 0.5000, 0.5000).

The uncorrected energy comes out at -4.8659 eV/atom. The formation energy from raw total energies comes out at -0.126 eV per atom. Its magnetic moment is 0.0 μB/f.u.


Computed, not measured: crystalline Tm8TlPt2 at its relaxed geometry at the PBE level of DFT.

The structure belongs to space group C2/m (No. 12); the cell edges are 8.6603, 13.3043 and 5.3952 Å and the angles 90.00°, 105.11° and 90.00°. The asymmetric unit holds Tm at (0.0000, 0.2433, 0.0000), Tm at (0.1088, 0.5000, 0.8025), Tm at (0.2053, 0.1266, 0.5817), Tl at (0.0000, 0.0000, 0.0000) and Pt at (0.0000, 0.3057, 0.5000).

The uncorrected energy comes out at -5.0801 eV/atom. As for the formation energy from the elements: -5.66 eV/f.u. Its magnetic moment is 0.5 μB/f.u.


Computed, not measured: crystalline Ho4Er3ThS8 at its relaxed geometry at the PBE level of DFT.

The structure belongs to space group R-3m (No. 166, hexagonal axes); the cell edges are 7.8053, 7.8053 and 19.0868 Å and the angles 90.00°, 90.00° and 120.00°. The asymmetric unit holds Ho at (0.0000, 0.0000, 0.0000), Ho at (0.0000, 0.5000, 0.0000), Er at (0.0000, 0.5000, 0.5000), Th at (0.0000, 0.0000, 0.5000), S at (0.0000, 0.0000, 0.2493) and S at (0.0078, 0.5039, 0.7488).

The uncorrected energy comes out at -6.4602 eV/atom. The formation energy from raw total energies comes out at -1.933 eV per atom. Its magnetic moment is 0.0 μB/f.u.


Computed, not measured: crystalline PrSm2C3 at its relaxed geometry at the PBE level of DFT.

The structure belongs to space group Imma (No. 74); the cell edges are 5.8930, 10.6429 and 7.7701 Å and the angles 90.00°, 90.00° and 90.00°. The asymmetric unit holds Pr at (0.0000, 0.2500, 0.0341), Sm at (0.0000, 0.0764, 0.6657), C at (0.1145, 0.0000, 0.0000) and C at (0.2500, 0.2500, 0.7500).

The uncorrected energy comes out at -6.9619 eV/atom. As for the formation energy from the elements: 0.12 eV/f.u. Its magnetic moment is 0.0 μB/f.u.


Computed, not measured: crystalline LiGdHoSb at its relaxed geometry at the PBE level of DFT.

The structure belongs to space group F-43m (No. 216); the cell edges are 7.3720, 7.3720 and 7.3720 Å and the angles 90.00°, 90.00° and 90.00°. The asymmetric unit holds Li at (0.0000, 0.0000, 0.0000), Gd at (0.2500, 0.2500, 0.2500), Ho at (0.2500, 0.2500, 0.7500) and Sb at (0.0000, 0.0000, 0.5000).

The uncorrected energy comes out at -6.6194 eV/atom. The formation energy from raw total energies comes out at -0.446 eV per atom. Its magnetic moment is 7.6 μB/f.u.


Computed, not measured: crystalline LaNd3Hg4 at its relaxed geometry at the PBE level of DFT.

The structure belongs to space group P4/mmm (No. 123); the cell edges are 5.4381, 5.4381 and 7.7623 Å and the angles 90.00°, 90.00° and 90.00°. The asymmetric unit holds La at (0.0000, 0.0000, 0.0000), Nd at (0.0000, 0.0000, 0.5000), Nd at (0.5000, 0.5000, 0.0000), Nd at (0.5000, 0.5000, 0.5000) and Hg at (0.0000, 0.5000, 0.2543).

The uncorrected energy comes out at -3.0337 eV/atom. As for the formation energy from the elements: -3.83 eV/f.u. Its magnetic moment is 1.8 μB/f.u.


Computed, not measured: crystalline Tb4Co2Hg5 at its relaxed geometry at the PBE level of DFT.

The structure belongs to space group P2/m (No. 10); the cell edges are 7.5922, 3.6244 and 9.2967 Å and the angles 90.00°, 94.55° and 90.00°. The asymmetric unit holds Tb at (0.1776, 0.0000, 0.3341), Tb at (0.2188, 0.0000, 0.9328), Co at (0.0640, 0.5000, 0.1242), Hg at (0.1604, 0.5000, 0.6406), Hg at (0.4440, 0.5000, 0.1649) and Hg at (0.5000, 0.5000, 0.5000).

The uncorrected energy comes out at -3.4700 eV/atom. As for the formation energy from the elements: -3.93 eV/f.u. Its magnetic moment is 0.0 μB/f.u.


Computed, not measured: crystalline CsAlTe2Pb at its relaxed geometry at the PBE level of DFT.

The structure belongs to space group P4/mmm (No. 123); the cell edges are 6.1827, 6.1827 and 5.5989 Å and the angles 90.00°, 90.00° and 90.00°. The asymmetric unit holds Cs at (0.0000, 0.0000, 0.0000), Al at (0.5000, 0.5000, 0.0000), Te at (0.0000, 0.5000, 0.5000) and Pb at (0.5000, 0.5000, 0.5000).

The uncorrected energy comes out at -2.9416 eV/atom. The formation energy from raw total energies comes out at -0.024 eV per atom. Its magnetic moment is 0.0 μB/f.u.


Computed, not measured: crystalline LaCeHg3 at its relaxed geometry at the PBE level of DFT.

The structure belongs to space group P2_1/c (No. 14); the cell edges are 8.2998, 6.6734 and 10.8874 Å and the angles 90.00°, 115.11° and 90.00°. The asymmetric unit holds La at (0.1739, 0.1891, 0.0444), Ce at (0.3970, 0.5983, 0.8791), Hg at (0.0191, 0.5697, 0.2534), Hg at (0.2378, 0.6706, 0.0905) and Hg at (0.4181, 0.1009, 0.8578).

The uncorrected energy comes out at -2.7102 eV/atom. As for the formation energy from the elements: -1.78 eV/f.u. Its magnetic moment is 0.8 μB/f.u. For the excess energy over the best structure of this formula in the dataset, the calculation gives 42 meV per atom.